[1]
## ZnSi2Os (PBEsol)

Data for a geometry-optimized ZnSi2Os structure.

The structure in POSCAR format:
```
ZnSi2Os
1.0
4.201 0.000 0.000
0.000 1.517 4.441
0.000 -1.517 4.441
Zn Si Os
1 2 1
Cartesian
0.000 0.000 0.000 Zn
0.000 0.000 6.513 Si
2.101 0.000 2.856 Si
2.101 0.000 5.352 Os
```

Crystal system = orthorhombic
V = 56.59 Å³/cell
Magnetization = 0.000 μB per formula unit
Total energy = -25.461 eV per cell

=====

[2]
## Zn3SiOs (PBEsol)

Data for a geometry-optimized Zn3SiOs structure.

The structure in POSCAR format:
```
Zn3SiOs
1.0
4.442 0.000 0.000
0.000 4.442 0.000
0.000 0.000 4.442
Zn Si Os
3 1 1
Cartesian
0.000 0.000 2.221 Zn
0.000 2.221 0.000 Zn
2.221 0.000 0.000 Zn
0.000 0.000 0.000 Si
2.221 2.221 2.221 Os
```

Crystal system = cubic
V = 87.66 Å³/cell
Magnetization = 2.023 μB per formula unit
Total energy = -15.840 eV per cell

=====

[3]
## ZnSi2Os (PBEsol)

Data for a geometry-optimized ZnSi2Os structure.

The structure in POSCAR format:
```
ZnSi2Os
1.0
4.245 0.000 0.000
0.000 4.245 0.000
0.000 0.000 2.954
Zn Si Os
1 2 1
Cartesian
0.000 0.000 0.000 Zn
0.000 2.123 1.477 Si
2.123 0.000 1.477 Si
2.123 2.123 0.000 Os
```

Crystal system = tetragonal
V = 53.24 Å³/cell
Magnetization = 0.000 μB per formula unit
Total energy = -24.651 eV per cell

=====

[4]
## Zn4SiOs (PBEsol)

Data for a geometry-optimized Zn4SiOs structure.

The structure in POSCAR format:
```
Zn4SiOs
1.0
0.000 3.420 3.420
3.420 0.000 3.420
3.420 3.420 0.000
Zn Si Os
4 1 1
Cartesian
0.852 0.852 0.852 Zn
2.568 2.568 0.852 Zn
2.568 0.852 2.568 Zn
0.852 2.568 2.568 Zn
3.420 3.420 3.420 Si
5.130 5.130 5.130 Os
```

Crystal system = cubic
V = 79.99 Å³/cell
Magnetization = 0.000 μB per formula unit
Total energy = -22.911 eV per cell

=====

[5]
## ZnSi3Os (PBEsol)

Data for a geometry-optimized ZnSi3Os structure.

The structure in POSCAR format:
```
ZnSi3Os
1.0
4.621 0.000 0.000
0.000 4.621 0.000
0.000 0.000 4.621
Zn Si Os
1 3 1
Cartesian
0.000 0.000 0.000 Zn
0.000 2.310 2.310 Si
2.310 0.000 2.310 Si
2.310 2.310 0.000 Si
2.310 2.310 2.310 Os
```

Crystal system = cubic
V = 98.66 Å³/cell
ΔE to the lowest computed polymorph = 0.000 kcal/mol of atoms
Magnetization = 0.001 μB per formula unit
Total energy = -28.298 eV per cell

=====

[6]
## ZnSiOs2 (PBEsol)

Data for a geometry-optimized ZnSiOs2 structure.

The structure in POSCAR format:
```
ZnSiOs2
1.0
-1.424 2.270 4.256
1.424 -2.270 4.256
1.424 2.270 -4.256
Zn Si Os
1 1 2
Cartesian
0.000 0.000 0.000 Zn
0.000 0.000 4.256 Si
1.424 0.000 2.375 Os
0.000 2.270 1.882 Os
```

Crystal system = orthorhombic
V = 55.02 Å³/cell
Magnetization = 0.000 μB per formula unit
Total energy = -31.415 eV per cell

=====

E_form (uncorrected) list, top to bottom, in eV per atom: -0.042; 1.374; 0.160; 0.230; 0.548; 0.086
N(E_F) list, top to bottom, in states/eV/f.u.: 1.6; 4.8; 1.1; 2.2; 4.9; 2.0